First-principles (PBE-GGA) data for RbTiZn2Cl8 after structural relaxation, as listed in Alexandria.

Summary:
Magnetization: 1.000 μB per formula unit
Electronic total energy: -43.0 eV/cell
Formation energy from raw total energies: -1.398 eV/atom

Cell lengths 6.278, 6.278, 10.800 Å; angles 73.10, 73.10, 60.00 degrees
Site moments in Bohr magnetons follow the coordinates.
Element x y z (fractional)
Rb 0.500 0.500 0.500  0.00
Ti 0.000 0.000 0.000  0.89
Zn 0.262 0.262 0.214  0.01
Zn 0.738 0.738 0.786  0.01
Cl 0.189 0.189 0.432  0.00
Cl 0.644 0.273 0.140  -0.01
Cl 0.811 0.811 0.568  0.00
Cl 0.943 0.644 0.140  -0.01
Cl 0.057 0.356 0.860  -0.01
Cl 0.273 0.943 0.140  -0.01
Cl 0.727 0.057 0.860  -0.01
Cl 0.356 0.727 0.860  -0.01

***

First-principles (PBE-GGA) data for Rb2TlCl2 after structural relaxation, as listed in Alexandria.

Summary:
Magnetization: 0.000 μB per formula unit
Electronic total energy: -29.0 eV/cell
Formation energy from raw total energies: -1.301 eV/atom
Energy above the lowest structure with this stoichiometry: 0.0 meV per atom

Cell lengths 9.052, 9.052, 4.261 Å; angles 90.00, 90.00, 90.00 degrees
Element x y z (fractional)
Tl 0.000 0.000 0.000
Tl 0.500 0.500 0.000
Rb 0.151 0.651 0.500
Rb 0.651 0.849 0.500
Rb 0.849 0.349 0.500
Rb 0.349 0.151 0.500
Cl 0.348 0.848 0.000
Cl 0.848 0.652 0.000
Cl 0.652 0.152 0.000
Cl 0.152 0.348 0.000

***

First-principles (PBE-GGA) data for RbTlCl after structural relaxation, as listed in Alexandria.

Summary:
Magnetization: 0.000 μB per formula unit
Electronic total energy: -33.9 eV/cell
Formation energy from raw total energies: -1.101 eV/atom
Energy above the lowest structure with this stoichiometry: 18.5 meV per atom

Cell lengths 4.495, 4.181, 24.646 Å; angles 90.00, 90.01, 90.00 degrees
Element x y z (fractional)
Tl 0.473 0.000 0.812
Tl 0.473 0.500 0.312
Tl 0.973 0.000 0.360
Tl 0.973 0.500 0.860
Rb 0.970 0.000 0.151
Rb 0.970 0.500 0.651
Rb 0.470 0.000 0.991
Rb 0.470 0.500 0.491
Cl 0.970 0.000 0.537
Cl 0.970 0.500 0.037
Cl 0.470 0.000 0.691
Cl 0.470 0.500 0.191

***

First-principles (PBE-GGA) data for Rb2Tl3Cl5 after structural relaxation, as listed in Alexandria.

Summary:
Magnetization: 0.000 μB per formula unit
Electronic total energy: -31.9 eV/cell
Formation energy from raw total energies: -1.360 eV/atom

Cell lengths 4.521, 8.604, 9.981 Å; angles 78.99, 76.91, 74.77 degrees
Element x y z (fractional)
Rb 0.329 0.072 0.270
Rb 0.671 0.928 0.730
Tl 0.500 0.500 0.500
Tl 0.113 0.645 0.129
Tl 0.887 0.355 0.871
Cl 0.000 0.000 0.000
Cl 0.101 0.213 0.585
Cl 0.899 0.787 0.415
Cl 0.710 0.382 0.199
Cl 0.290 0.618 0.801

***

First-principles (PBE-GGA) data for Rb2TlCl after structural relaxation, as listed in Alexandria.

Summary:
Magnetization: 0.000 μB per formula unit
Electronic total energy: -9.7 eV/cell
Formation energy from raw total energies: -0.876 eV/atom
Energy above the lowest structure with this stoichiometry: 0.0 meV per atom

Cell lengths 3.968, 3.968, 9.797 Å; angles 90.00, 90.00, 90.00 degrees
Element x y z (fractional)
Tl 0.500 0.500 0.500
Rb 0.000 0.000 0.798
Rb 0.000 0.000 0.202
Cl 0.500 0.500 0.000

***

First-principles (PBE-GGA) data for RbTlCl6 after structural relaxation, as listed in Alexandria.

Summary:
Magnetization: 2.071 μB per formula unit
Electronic total energy: -19.2 eV/cell
Formation energy from raw total energies: -0.602 eV/atom

Cell lengths 6.339, 6.339, 6.339 Å; angles 94.84, 94.84, 94.84 degrees
Site moments in Bohr magnetons follow the coordinates.
Element x y z (fractional)
Rb 0.000 0.000 0.000  0.00
Tl 0.500 0.500 0.500  -0.01
Cl 0.209 0.589 0.209  0.27
Cl 0.209 0.209 0.589  0.27
Cl 0.791 0.411 0.791  0.27
Cl 0.411 0.791 0.791  0.27
Cl 0.791 0.791 0.411  0.27
Cl 0.589 0.209 0.209  0.27